Record 1
# SrBe2AgBi | Alexandria via LeMat-Bulk | PBE-GGA | optimized geometry
data_SrBe2AgBi
_symmetry_space_group_name_H-M 'P 4/m m m'
_symmetry_Int_Tables_number 123
_symmetry_space_group_name_Hall '-P 4 2'
_cell_length_a 5.017
_cell_length_b 5.017
_cell_length_c 5.610
_cell_angle_alpha 90.00
_cell_angle_beta 90.00
_cell_angle_gamma 90.00
loop_
_atom_site_label
_atom_site_fract_x
_atom_site_fract_y
_atom_site_fract_z
Sr1 0.000 0.000 0.000
Be1 0.000 0.500 0.500
Ag1 0.500 0.500 0.000
Bi1 0.500 0.500 0.500
# Crystal system: tetragonal
# DOS at the Fermi energy (states/eV/atom): 0.608
# DFT formation energy (eV per atom): 0.736


Record 2
# K4Au2Br | Alexandria via LeMat-Bulk | PBE-GGA | optimized geometry
data_K4Au2Br
_symmetry_space_group_name_H-M 'I 4/m m m'
_symmetry_Int_Tables_number 139
_symmetry_space_group_name_Hall '-I 4 2'
_cell_length_a 5.927
_cell_length_b 5.927
_cell_length_c 21.862
_cell_angle_alpha 90.00
_cell_angle_beta 90.00
_cell_angle_gamma 90.00
loop_
_atom_site_label
_atom_site_fract_x
_atom_site_fract_y
_atom_site_fract_z
K1 0.000 0.000 0.187
K2 0.000 0.500 0.000
Au1 0.000 0.000 0.332
Br1 0.000 0.000 0.500
# Crystal system: tetragonal
# Raw formation energy (eV/atom): -0.363
# DOS at the Fermi energy (states/eV/atom): 0.259